(1)
DFT (PBE-GGA) results for an optimized crystal structure of Be2TeSe.

The volume comes out at 16.883 A^3/atom. Its formation energy (no corrections) is 675 meV per atom. As for the total energy: -2.845 eV per atom. For the size of the total moment, the calculation gives 0.0 μB/f.u.

The structure belongs to space group Fm-3m (No. 225); the cell edges are 6.464, 6.464 and 6.464 Å and the angles 90.00°, 90.00° and 90.00°. The inequivalent atoms are Be at (0.250, 0.250, 0.250), Te at (0.000, 0.000, 0.000) and Se at (0.000, 0.000, 0.500).

(2)
DFT (PBE-GGA) results for an optimized crystal structure of Be2TeSe.

The volume comes out at 26.796 A^3/atom. Its formation energy (no corrections) is 196 meV per atom. As for the total energy: -3.324 eV per atom. For the size of the total moment, the calculation gives 0.0 μB/f.u.

The structure belongs to space group P2/m (No. 10); the cell edges are 4.951, 3.385 and 6.798 Å and the angles 90.00°, 109.84° and 90.00°. The inequivalent atoms are Be at (0.221, 0.000, 0.224), Te at (0.500, 0.500, 0.500) and Se at (0.000, 0.500, 0.000).

(3)
DFT (PBE-GGA) results for an optimized crystal structure of Be2TeSe.

The volume comes out at 17.019 A^3/atom. Its formation energy (no corrections) is 669 meV per atom. As for the total energy: -2.850 eV per atom. For the size of the total moment, the calculation gives 0.0 μB/f.u.

The structure belongs to space group P4/mmm (No. 123); the cell edges are 4.561, 4.561 and 3.272 Å and the angles 90.00°, 90.00° and 90.00°. The inequivalent atoms are Be at (0.000, 0.500, 0.000), Te at (0.000, 0.000, 0.500) and Se at (0.500, 0.500, 0.500).

(4)
DFT (PBE-GGA) results for an optimized crystal structure of BeTeSe4.

The volume comes out at 21.952 A^3/atom. Its formation energy (no corrections) is 918 meV per atom. As for the total energy: -2.550 eV per atom. For the size of the total moment, the calculation gives 0.0 μB/f.u.

The structure belongs to space group F-43m (No. 216); the cell edges are 8.077, 8.077 and 8.077 Å and the angles 90.00°, 90.00° and 90.00°. The inequivalent atoms are Be at (0.000, 0.000, 0.000), Te at (0.250, 0.250, 0.250) and Se at (0.127, 0.127, 0.627).

Question: size of the total moment of number 1 (Be2TeSe)?
Answer: 0.0 μB/f.u.